# 1
## PrNpS3 (PBE)

Data for a relaxed structure of PrNpS3.

Lattice parameters (Å, degrees): 7.406 4.015 15.478 90.00 90.00 90.00
Atoms (fractional coordinates):
1 Pr 0.132 0.250 0.204
2 Pr 0.368 0.750 0.704
3 Pr 0.632 0.250 0.296
4 Pr 0.868 0.750 0.796
5 Np 0.236 0.750 0.460
6 Np 0.264 0.250 0.960
7 Np 0.736 0.750 0.040
8 Np 0.764 0.250 0.540
9 S 0.013 0.250 0.398
10 S 0.128 0.750 0.064
11 S 0.154 0.250 0.785
12 S 0.346 0.750 0.285
13 S 0.372 0.250 0.564
14 S 0.487 0.750 0.898
15 S 0.513 0.250 0.102
16 S 0.628 0.750 0.436
17 S 0.654 0.250 0.715
18 S 0.846 0.750 0.215
19 S 0.872 0.250 0.936
20 S 0.987 0.750 0.602

Its formation energy (no corrections) is -1.73 eV per atom. As for the distance to the lowest polymorph of the same formula: 0.0 meV/atom.

# 2
## WCl (PBE)

Data for a relaxed structure of WCl.

Lattice parameters (Å, degrees): 6.601 6.601 6.601 90.00 90.00 90.00
Atoms (fractional coordinates):
1 W 0.000 0.250 0.500
2 W 0.000 0.750 0.500
3 W 0.250 0.500 0.000
4 W 0.500 0.000 0.250
5 W 0.500 0.000 0.750
6 W 0.750 0.500 0.000
7 Cl 0.000 0.500 0.250
8 Cl 0.000 0.500 0.750
9 Cl 0.250 0.000 0.500
10 Cl 0.500 0.250 0.000
11 Cl 0.500 0.750 0.000
12 Cl 0.750 0.000 0.500

Its formation energy (no corrections) is 1.96 eV per atom. As for the distance to the lowest polymorph of the same formula: 2202.1 meV/atom.

# 3
## Rb2ZrI7 (PBE)

Data for a relaxed structure of Rb2ZrI7.

Lattice parameters (Å, degrees): 9.258 9.258 9.258 121.92 121.92 86.70
Atoms (fractional coordinates):
1 Rb 0.250 0.750 0.500
2 Rb 0.750 0.250 0.500
3 Zr 0.000 0.000 0.000
4 I 0.214 0.214 0.000
5 I 0.227 0.227 0.454
6 I 0.227 0.773 0.000
7 I 0.500 0.500 0.000
8 I 0.773 0.227 0.000
9 I 0.773 0.773 0.546
10 I 0.786 0.786 0.000

Its formation energy (no corrections) is -0.90 eV per atom. As for the distance to the lowest polymorph of the same formula: 83.2 meV/atom.

# 4
## CaAlMo2 (PBE)

Data for a relaxed structure of CaAlMo2.

Lattice parameters (Å, degrees): 10.242 10.242 10.242 156.92 156.92 32.87
Atoms (fractional coordinates):
1 Ca 0.000 0.000 0.000
2 Ca 0.750 0.250 0.500
3 Al 0.250 0.750 0.500
4 Al 0.500 0.500 0.000
5 Mo 0.197 0.125 0.572
6 Mo 0.375 0.803 0.928
7 Mo 0.553 0.625 0.428
8 Mo 0.875 0.447 0.072

The formation enthalpy at 0 K is 2.98 eV/f.u.

# 5
## Dy3HoSc6 (PBE)

Data for a relaxed structure of Dy3HoSc6.

Lattice parameters (Å, degrees): 10.397 10.397 5.843 90.00 90.00 119.45
Atoms (fractional coordinates):
1 Dy 0.104 0.896 0.500
2 Dy 0.220 0.430 0.907
3 Dy 0.430 0.220 0.407
4 Dy 0.570 0.780 0.907
5 Dy 0.780 0.570 0.407
6 Dy 0.896 0.104 0.000
7 Ho 0.288 0.712 0.599
8 Ho 0.712 0.288 0.099
9 Sc 0.042 0.471 0.302
10 Sc 0.114 0.219 0.458
11 Sc 0.212 0.788 0.075
12 Sc 0.219 0.114 0.958
13 Sc 0.451 0.549 0.372
14 Sc 0.471 0.042 0.802
15 Sc 0.529 0.958 0.302
16 Sc 0.549 0.451 0.872
17 Sc 0.781 0.886 0.458
18 Sc 0.788 0.212 0.575
19 Sc 0.886 0.781 0.958
20 Sc 0.958 0.529 0.802

The formation enthalpy at 0 K is 1.58 eV/f.u. As for the distance to the lowest polymorph of the same formula: 0.0 meV/atom.

# 6
## Er8Bi2Pd (PBE)

Data for a relaxed structure of Er8Bi2Pd.

Lattice parameters (Å, degrees): 9.372 9.372 6.803 91.67 91.67 31.47
Atoms (fractional coordinates):
1 Er 0.026 0.026 0.257
2 Er 0.213 0.213 0.135
3 Er 0.352 0.352 0.588
4 Er 0.410 0.410 0.070
5 Er 0.590 0.590 0.930
6 Er 0.648 0.648 0.412
7 Er 0.787 0.787 0.865
8 Er 0.974 0.974 0.743
9 Bi 0.171 0.171 0.675
10 Bi 0.829 0.829 0.325
11 Pd 0.500 0.500 0.500

The formation enthalpy at 0 K is -4.38 eV/f.u.

What did the first record say?
## PrNpS3 (PBE)

Data for a relaxed structure of PrNpS3.

Lattice parameters (Å, degrees): 7.406 4.015 15.478 90.00 90.00 90.00
Atoms (fractional coordinates):
1 Pr 0.132 0.250 0.204
2 Pr 0.368 0.750 0.704
3 Pr 0.632 0.250 0.296
4 Pr 0.868 0.750 0.796
5 Np 0.236 0.750 0.460
6 Np 0.264 0.250 0.960
7 Np 0.736 0.750 0.040
8 Np 0.764 0.250 0.540
9 S 0.013 0.250 0.398
10 S 0.128 0.750 0.064
11 S 0.154 0.250 0.785
12 S 0.346 0.750 0.285
13 S 0.372 0.250 0.564
14 S 0.487 0.750 0.898
15 S 0.513 0.250 0.102
16 S 0.628 0.750 0.436
17 S 0.654 0.250 0.715
18 S 0.846 0.750 0.215
19 S 0.872 0.250 0.936
20 S 0.987 0.750 0.602

Its formation energy (no corrections) is -1.73 eV per atom. As for the distance to the lowest polymorph of the same formula: 0.0 meV/atom.